{
  "formula": "TcIrPd2",
  "functional": "meta-GGA SCAN",
  "state": "PBEsol geometry",
  "mass_density_g_cm3": 14.6,
  "formation_energy_ev_per_fu": 1.8,
  "total_energy_ev_per_cell": -169.905,
  "lattice_angstrom": [[4.329, 0.000, 0.000], [2.164, 3.749, 0.000], [2.164, 1.250, 3.535]],
  "species": ["Tc", "Ir", "Pd", "Pd"],
  "frac_coords": [[0.000, 0.000, 0.000], [0.500, 0.500, 0.500], [0.250, 0.250, 0.250], [0.750, 0.750, 0.750]]
}